# NaSmBiSb | Alexandria | PBE | optimized geometry
# volume	468	Å³ per cell
# total energy	-3.987	eV per atom
# density of states at the Fermi level	20.7	states/eV per cell
data_NaSmBiSb
_cell_length_a 7.763
_cell_length_b 7.763
_cell_length_c 7.763
_cell_angle_alpha 90.00
_cell_angle_beta 90.00
_cell_angle_gamma 90.00
_symmetry_space_group_name_H-M 'F -4 3 m'
_symmetry_Int_Tables_number 216
_symmetry_space_group_name_Hall 'F -4 2 3'
loop_
_atom_site_label
_atom_site_fract_x
_atom_site_fract_y
_atom_site_fract_z
_atom_site_occupancy
Na1 0.000 0.000 0.000 1
Sm1 0.000 0.000 0.500 1
Bi1 0.250 0.250 0.250 1
Sb1 0.250 0.250 0.750 1